# 1
DFT (PBE-GGA) results for crystalline La3GaBi at its relaxed geometry.

The polymorph energy (0 for the lowest one) comes out at 0.0000 eV per atom. Its crystal system is triclinic.

The structure belongs to space group P-1 (No. 2); the cell edges are 4.0038, 8.5086 and 10.6472 Å and the angles 74.69°, 88.76° and 89.35°. The asymmetric unit holds La at (0.0585, 0.0308, 0.1940), La at (0.0606, 0.6488, 0.5998), La at (0.1277, 0.6370, 0.0906), Ga at (0.4844, 0.6836, 0.8270) and Bi at (0.4472, 0.2852, 0.6639).

***

# 2
DFT (PBE-GGA) results for crystalline SiTcP2S at its relaxed geometry.

The polymorph energy (0 for the lowest one) comes out at 0.0000 eV per atom. Its crystal system is tetragonal. The value obtained for the formation energy from raw total energies is 0.72 eV/atom.

The structure belongs to space group P4/mmm (No. 123); the cell edges are 4.4475, 4.4475 and 5.2106 Å and the angles 90.00°, 90.00° and 90.00°. The asymmetric unit holds Si at (0.0000, 0.0000, 0.0000), Tc at (0.5000, 0.5000, 0.5000), P at (0.0000, 0.5000, 0.5000) and S at (0.5000, 0.5000, 0.0000).

***

# 3
DFT (PBE-GGA) results for crystalline Ba3Pb3Au8 at its relaxed geometry.

Its crystal system is orthorhombic. The calculation puts the total energy at -3.5489 eV per atom.

The structure belongs to space group Immm (No. 71); the cell edges are 5.0237, 10.1653 and 14.8539 Å and the angles 90.00°, 90.00° and 90.00°. The asymmetric unit holds Ba at (0.0000, 0.0000, 0.0000), Ba at (0.0000, 0.0000, 0.2896), Pb at (0.0000, 0.2087, 0.5000), Pb at (0.0000, 0.5000, 0.0000), Au at (0.0000, 0.2818, 0.1439) and Au at (0.0000, 0.3604, 0.3353).

***

# 4
DFT (PBE-GGA) results for crystalline K3Ho2ThSe6 at its relaxed geometry.

Its crystal system is monoclinic. The value obtained for the formation energy from raw total energies is -1.68 eV/atom.

The structure belongs to space group C2/m (No. 12); the cell edges are 19.6564, 4.2027 and 9.1555 Å and the angles 90.00°, 109.53° and 90.00°. The asymmetric unit holds K at (0.0000, 0.0000, 0.0000), K at (0.1668, 0.5000, 0.3306), Ho at (0.1690, 0.5000, 0.8384), Th at (0.0000, 0.0000, 0.5000), Se at (0.0109, 0.5000, 0.7357), Se at (0.1588, 0.0000, 0.6103) and Se at (0.1764, 0.0000, 0.0584).

***

# 5
DFT (PBE-GGA) results for crystalline LiPaCoIr at its relaxed geometry.

Its crystal system is cubic. The calculation puts the total energy at -7.1596 eV per atom.

The structure belongs to space group F-43m (No. 216); the cell edges are 6.4159, 6.4159 and 6.4159 Å and the angles 90.00°, 90.00° and 90.00°. The asymmetric unit holds Li at (0.0000, 0.0000, 0.0000), Pa at (0.0000, 0.0000, 0.5000), Co at (0.2500, 0.2500, 0.7500) and Ir at (0.2500, 0.2500, 0.2500).

***

# 6
DFT (PBE-GGA) results for crystalline Sc3Ni20P6 at its relaxed geometry.

Its crystal system is cubic. The calculation puts the total energy at -6.3672 eV per atom.

The structure belongs to space group Fm-3m (No. 225); the cell edges are 11.1615, 11.1615 and 11.1615 Å and the angles 90.00°, 90.00° and 90.00°. The asymmetric unit holds Sc at (0.0000, 0.0000, 0.0000), Sc at (0.2500, 0.2500, 0.2500), Ni at (0.0000, 0.1753, 0.1753), Ni at (0.1154, 0.1154, 0.3846) and P at (0.0000, 0.0000, 0.2619).

***

# 7
DFT (PBE-GGA) results for crystalline HoNpZnO6 at its relaxed geometry.

Its crystal system is trigonal. The value obtained for the formation energy from raw total energies is -2.43 eV/atom.

The structure belongs to space group P-31c (No. 163); the cell edges are 5.6579, 5.6579 and 8.8030 Å and the angles 90.00°, 90.00° and 120.00°. The asymmetric unit holds Ho at (0.3333, 0.6667, 0.2500), Np at (0.3333, 0.6667, 0.7500), Zn at (0.0000, 0.0000, 0.0000) and O at (0.0302, 0.3561, 0.6302).

***

# 8
DFT (PBE-GGA) results for crystalline Pa2Bi2HO at its relaxed geometry.

Its crystal system is orthorhombic. The calculation puts the total energy at -6.9028 eV per atom.

The structure belongs to space group Ibam (No. 72); the cell edges are 5.9073, 14.4049 and 5.9070 Å and the angles 90.00°, 90.00° and 90.00°. The asymmetric unit holds Pa at (0.2405, 0.0776, 0.0000), Bi at (0.2337, 0.3235, 0.0000), H at (0.0000, 0.5000, 0.2500) and O at (0.0000, 0.0000, 0.2500).

***

# 9
DFT (PBE-GGA) results for crystalline Nd2Dy3S4 at its relaxed geometry.

Its crystal system is monoclinic. The value obtained for the formation energy from raw total energies is -1.77 eV/atom.

The structure belongs to space group C2/m (No. 12); the cell edges are 13.0076, 3.9190 and 9.6580 Å and the angles 90.00°, 118.77° and 90.00°. The asymmetric unit holds Nd at (0.0993, 0.0000, 0.4024), Dy at (0.0000, 0.5000, 0.0000), Dy at (0.2048, 0.5000, 0.8041), S at (0.1041, 0.0000, 0.9057) and S at (0.1985, 0.5000, 0.2916).

***

# 10
DFT (PBE-GGA) results for crystalline As2PRh at its relaxed geometry.

Its crystal system is cubic. The calculation puts the total energy at -5.2258 eV per atom.

The structure belongs to space group F-43m (No. 216); the cell edges are 6.3615, 6.3615 and 6.3615 Å and the angles 90.00°, 90.00° and 90.00°. The asymmetric unit holds As at (0.0000, 0.0000, 0.0000), As at (0.2500, 0.2500, 0.2500), P at (0.2500, 0.2500, 0.7500) and Rh at (0.0000, 0.0000, 0.5000).

***

# 11
DFT (PBE-GGA) results for crystalline Ce7Rh2Pb at its relaxed geometry.

Its crystal system is orthorhombic. The calculation puts the total energy at -6.1499 eV per atom.

The structure belongs to space group Cmmm (No. 65); the cell edges are 9.4061, 12.8906 and 5.1801 Å and the angles 90.00°, 90.00° and 90.00°. The asymmetric unit holds Ce at (0.0000, 0.0000, 0.0000), Ce at (0.0000, 0.2233, 0.5000), Ce at (0.1883, 0.3921, 0.0000), Rh at (0.0000, 0.2033, 0.0000) and Pb at (0.0000, 0.5000, 0.5000).

***

# 12
DFT (PBE-GGA) results for crystalline MnCd2Br at its relaxed geometry.

The polymorph energy (0 for the lowest one) comes out at 0.0000 eV per atom. Its crystal system is trigonal. The value obtained for the formation energy from raw total energies is 0.01 eV/atom.

The structure belongs to space group R3m (No. 160, hexagonal axes); the cell edges are 3.5396, 3.5396 and 26.6396 Å and the angles 90.00°, 90.00° and 120.00°. The asymmetric unit holds Mn at (0.0000, 0.0000, 0.0000), Cd at (0.0000, 0.0000, 0.4922), Cd at (0.0000, 0.0000, 0.7411) and Br at (0.0000, 0.0000, 0.2707).

***

# 13
DFT (PBE-GGA) results for crystalline ScBePd at its relaxed geometry.

Its crystal system is tetragonal. The calculation puts the total energy at -4.7398 eV per atom.

The structure belongs to space group I4mm (No. 107); the cell edges are 2.9349, 2.9349 and 13.3820 Å and the angles 90.00°, 90.00° and 90.00°. The asymmetric unit holds Sc at (0.0000, 0.0000, 0.0000), Be at (0.0000, 0.0000, 0.7968) and Pd at (0.0000, 0.0000, 0.6329).

***

# 14
DFT (PBE-GGA) results for crystalline Hf2ZrTaH at its relaxed geometry.

The polymorph energy (0 for the lowest one) comes out at 0.0000 eV per atom. Its crystal system is tetragonal.

The structure belongs to space group P4/mmm (No. 123); the cell edges are 4.6671, 4.6671 and 3.9978 Å and the angles 90.00°, 90.00° and 90.00°. The asymmetric unit holds Hf at (0.0000, 0.5000, 0.0000), Zr at (0.0000, 0.0000, 0.5000), Ta at (0.5000, 0.5000, 0.5000) and H at (0.5000, 0.5000, 0.0000).

***

# 15
DFT (PBE-GGA) results for crystalline SrTaSb at its relaxed geometry.

The polymorph energy (0 for the lowest one) comes out at 0.0000 eV per atom. Its crystal system is tetragonal. The value obtained for the formation energy from raw total energies is 0.15 eV/atom.

The structure belongs to space group I4mm (No. 107); the cell edges are 3.7429, 3.7429 and 11.8162 Å and the angles 90.00°, 90.00° and 90.00°. The asymmetric unit holds Sr at (0.0000, 0.0000, 0.0000), Ta at (0.0000, 0.0000, 0.2959) and Sb at (0.0000, 0.0000, 0.7120).

***

# 16
DFT (PBE-GGA) results for crystalline ThPaTl at its relaxed geometry.

The polymorph energy (0 for the lowest one) comes out at 0.1418 eV per atom. Its crystal system is hexagonal.

The structure belongs to space group P-6m2 (No. 187); the cell edges are 5.4036, 5.4036 and 3.2136 Å and the angles 90.00°, 90.00° and 120.00°. The asymmetric unit holds Th at (0.0000, 0.0000, 0.0000), Pa at (0.3333, 0.6667, 0.0000) and Tl at (0.6667, 0.3333, 0.5000).

***

# 17
DFT (PBE-GGA) results for crystalline RbRh3Pb at its relaxed geometry.

The polymorph energy (0 for the lowest one) comes out at 0.8756 eV per atom. Its crystal system is cubic.

The structure belongs to space group Pm-3m (No. 221); the cell edges are 4.9304, 4.9304 and 4.9304 Å and the angles 90.00°, 90.00° and 90.00°. The asymmetric unit holds Rb at (0.0000, 0.0000, 0.0000), Rh at (0.0000, 0.0000, 0.5000) and Pb at (0.5000, 0.5000, 0.5000).

***

# 18
DFT (PBE-GGA) results for crystalline FeNiAs2Se at its relaxed geometry.

The polymorph energy (0 for the lowest one) comes out at 0.2555 eV per atom. Its crystal system is tetragonal. The value obtained for the formation energy from raw total energies is 0.92 eV/atom.

The structure belongs to space group P4/mmm (No. 123); the cell edges are 4.4769, 4.4769 and 4.7657 Å and the angles 90.00°, 90.00° and 90.00°. The asymmetric unit holds Fe at (0.0000, 0.0000, 0.0000), Ni at (0.5000, 0.5000, 0.5000), As at (0.0000, 0.5000, 0.5000) and Se at (0.5000, 0.5000, 0.0000).

***

# 19
DFT (PBE-GGA) results for crystalline BaCrAsBr2 at its relaxed geometry.

The polymorph energy (0 for the lowest one) comes out at 0.9119 eV per atom. Its crystal system is tetragonal. The value obtained for the formation energy from raw total energies is 0.06 eV/atom.

The structure belongs to space group P4/mmm (No. 123); the cell edges are 6.1910, 6.1910 and 6.5733 Å and the angles 90.00°, 90.00° and 90.00°. The asymmetric unit holds Ba at (0.0000, 0.0000, 0.0000), Cr at (0.5000, 0.5000, 0.5000), As at (0.0000, 0.0000, 0.5000) and Br at (0.0000, 0.5000, 0.0000).

***

# 20
DFT (PBE-GGA) results for crystalline TbHf2Fe at its relaxed geometry.

The polymorph energy (0 for the lowest one) comes out at 0.0000 eV per atom. Its crystal system is tetragonal.

The structure belongs to space group P4/mmm (No. 123); the cell edges are 3.2207, 3.2207 and 8.1234 Å and the angles 90.00°, 90.00° and 90.00°. The asymmetric unit holds Tb at (0.0000, 0.0000, 0.0000), Hf at (0.5000, 0.5000, 0.3164) and Fe at (0.0000, 0.0000, 0.5000).

***

# 21
DFT (PBE-GGA) results for crystalline Cu2PdO2 at its relaxed geometry.

Its crystal system is tetragonal. The value obtained for the formation energy from raw total energies is -0.23 eV/atom.

The structure belongs to space group I4/mmm (No. 139); the cell edges are 4.0439, 4.0439 and 8.3289 Å and the angles 90.00°, 90.00° and 90.00°. The asymmetric unit holds Cu at (0.0000, 0.5000, 0.2500), Pd at (0.0000, 0.0000, 0.0000) and O at (0.0000, 0.0000, 0.2445).

***

# 22
DFT (PBE-GGA) results for crystalline PuPaGeRh at its relaxed geometry.

The polymorph energy (0 for the lowest one) comes out at 0.0000 eV per atom. Its crystal system is cubic.

The structure belongs to space group F-43m (No. 216); the cell edges are 6.9935, 6.9935 and 6.9935 Å and the angles 90.00°, 90.00° and 90.00°. The asymmetric unit holds Pu at (0.0000, 0.0000, 0.0000), Pa at (0.0000, 0.0000, 0.5000), Ge at (0.2500, 0.2500, 0.2500) and Rh at (0.2500, 0.2500, 0.7500).

***

# 23
DFT (PBE-GGA) results for crystalline NaLuIn4 at its relaxed geometry.

Its crystal system is cubic. The calculation puts the total energy at -2.8995 eV per atom.

The structure belongs to space group F-43m (No. 216); the cell edges are 8.5698, 8.5698 and 8.5698 Å and the angles 90.00°, 90.00° and 90.00°. The asymmetric unit holds Na at (0.0000, 0.0000, 0.0000), Lu at (0.2500, 0.2500, 0.7500) and In at (0.1248, 0.1248, 0.3752).

***

# 24
DFT (PBE-GGA) results for crystalline HoTiF6 at its relaxed geometry.

Its crystal system is monoclinic. The value obtained for the formation energy from raw total energies is -3.63 eV/atom.

The structure belongs to space group C2/m (No. 12); the cell edges are 5.3398, 8.4446 and 5.2923 Å and the angles 90.00°, 101.71° and 90.00°. The asymmetric unit holds Ho at (0.0000, 0.0000, 0.0000), Ti at (0.0000, 0.5000, 0.5000), F at (0.2195, 0.3481, 0.7493) and F at (0.2479, 0.0000, 0.7177).

***

# 25
DFT (PBE-GGA) results for crystalline HoZr4Ru5 at its relaxed geometry.

Its crystal system is tetragonal. The calculation puts the total energy at -9.1308 eV per atom.

The structure belongs to space group P4/mmm (No. 123); the cell edges are 3.2911, 3.2911 and 16.6108 Å and the angles 90.00°, 90.00° and 90.00°. The asymmetric unit holds Ho at (0.0000, 0.0000, 0.0000), Zr at (0.0000, 0.0000, 0.2019), Zr at (0.0000, 0.0000, 0.4008), Ru at (0.5000, 0.5000, 0.1105), Ru at (0.5000, 0.5000, 0.3045) and Ru at (0.5000, 0.5000, 0.5000).